1.
## TcPt2Pb (PBE)

Data for TcPt2Pb after structural relaxation.

Summary:
- symmetry = P4/mmm, No. 123
- energy relative to the lowest polymorph listed for this composition (eV/atom) = 0.101

CIF file:
```
data_TcPt2Pb
_chemical_formula_sum 'Tc1 Pt2 Pb1'
_cell_length_a 4.003
_cell_length_b 4.003
_cell_length_c 4.309
_cell_angle_alpha 90.00
_cell_angle_beta 90.00
_cell_angle_gamma 90.00
_space_group_name_H-M_alt 'P 1'
_space_group_IT_number 1
loop_
_space_group_symop_operation_xyz
'x,y,z'
loop_
_atom_site_label
_atom_site_fract_x
_atom_site_fract_y
_atom_site_fract_z
Tc1 0.000 0.000 0.000
Pt1 0.000 0.500 0.500
Pt2 0.500 0.000 0.500
Pb1 0.500 0.500 0.000
```


2.
## Tc2PtPb (PBE)

Data for Tc2PtPb after structural relaxation.

Summary:
- symmetry = P4mm, No. 99
- energy relative to the lowest polymorph listed for this composition (eV/atom) = 0.000

CIF file:
```
data_Tc2PtPb
_chemical_formula_sum 'Tc2 Pt1 Pb1'
_cell_length_a 2.973
_cell_length_b 2.973
_cell_length_c 7.946
_cell_angle_alpha 90.00
_cell_angle_beta 90.00
_cell_angle_gamma 90.00
_space_group_name_H-M_alt 'P 1'
_space_group_IT_number 1
loop_
_space_group_symop_operation_xyz
'x,y,z'
loop_
_atom_site_label
_atom_site_fract_x
_atom_site_fract_y
_atom_site_fract_z
Tc1 0.000 0.000 0.000
Tc2 0.500 0.500 0.189
Pt1 0.500 0.500 0.755
Pb1 0.000 0.000 0.474
```


3.
## TcPtPb2 (PBE)

Data for TcPtPb2 after structural relaxation.

Summary:
- symmetry = I-42d, No. 122
- energy relative to the lowest polymorph listed for this composition (eV/atom) = 0.447

CIF file:
```
data_TcPtPb2
_chemical_formula_sum 'Tc4 Pt4 Pb8'
_cell_length_a 7.704
_cell_length_b 7.704
_cell_length_c 6.147
_cell_angle_alpha 90.00
_cell_angle_beta 90.00
_cell_angle_gamma 90.00
_space_group_name_H-M_alt 'P 1'
_space_group_IT_number 1
loop_
_space_group_symop_operation_xyz
'x,y,z'
loop_
_atom_site_label
_atom_site_fract_x
_atom_site_fract_y
_atom_site_fract_z
Tc1 0.000 0.000 0.000
Tc2 0.000 0.500 0.250
Tc3 0.500 0.000 0.750
Tc4 0.500 0.500 0.500
Pt1 0.000 0.000 0.500
Pt2 0.000 0.500 0.750
Pt3 0.500 0.000 0.250
Pt4 0.500 0.500 0.000
Pb1 0.238 0.250 0.625
Pb2 0.250 0.738 0.875
Pb3 0.250 0.762 0.375
Pb4 0.262 0.250 0.125
Pb5 0.738 0.750 0.125
Pb6 0.750 0.238 0.375
Pb7 0.750 0.262 0.875
Pb8 0.762 0.750 0.625
```


4.
## Tc2PtPb (PBE)

Data for Tc2PtPb after structural relaxation.

Summary:
- symmetry = F-43m, No. 216
- energy relative to the lowest polymorph listed for this composition (eV/atom) = 0.323

CIF file:
```
data_Tc2PtPb
_chemical_formula_sum 'Tc8 Pt4 Pb4'
_cell_length_a 6.516
_cell_length_b 6.516
_cell_length_c 6.516
_cell_angle_alpha 90.00
_cell_angle_beta 90.00
_cell_angle_gamma 90.00
_space_group_name_H-M_alt 'P 1'
_space_group_IT_number 1
loop_
_space_group_symop_operation_xyz
'x,y,z'
loop_
_atom_site_label
_atom_site_fract_x
_atom_site_fract_y
_atom_site_fract_z
Tc1 0.000 0.000 0.000
Tc2 0.000 0.500 0.500
Tc3 0.250 0.250 0.250
Tc4 0.250 0.750 0.750
Tc5 0.500 0.000 0.500
Tc6 0.500 0.500 0.000
Tc7 0.750 0.250 0.750
Tc8 0.750 0.750 0.250
Pt1 0.000 0.000 0.500
Pt2 0.000 0.500 0.000
Pt3 0.500 0.000 0.000
Pt4 0.500 0.500 0.500
Pb1 0.250 0.250 0.750
Pb2 0.250 0.750 0.250
Pb3 0.750 0.250 0.250
Pb4 0.750 0.750 0.750
```


5.
## TcPt2Pb (PBE)

Data for TcPt2Pb after structural relaxation.

Summary:
- symmetry = Fm-3m, No. 225
- energy relative to the lowest polymorph listed for this composition (eV/atom) = 0.231

CIF file:
```
data_TcPt2Pb
_chemical_formula_sum 'Tc4 Pt8 Pb4'
_cell_length_a 6.613
_cell_length_b 6.613
_cell_length_c 6.613
_cell_angle_alpha 90.00
_cell_angle_beta 90.00
_cell_angle_gamma 90.00
_space_group_name_H-M_alt 'P 1'
_space_group_IT_number 1
loop_
_space_group_symop_operation_xyz
'x,y,z'
loop_
_atom_site_label
_atom_site_fract_x
_atom_site_fract_y
_atom_site_fract_z
Tc1 0.000 0.000 0.000
Tc2 0.000 0.500 0.500
Tc3 0.500 0.000 0.500
Tc4 0.500 0.500 0.000
Pt1 0.250 0.250 0.250
Pt2 0.250 0.250 0.750
Pt3 0.250 0.750 0.250
Pt4 0.250 0.750 0.750
Pt5 0.750 0.250 0.250
Pt6 0.750 0.250 0.750
Pt7 0.750 0.750 0.250
Pt8 0.750 0.750 0.750
Pb1 0.000 0.000 0.500
Pb2 0.000 0.500 0.000
Pb3 0.500 0.000 0.000
Pb4 0.500 0.500 0.500
```


6.
## Tc3PtPb (PBE)

Data for Tc3PtPb after structural relaxation.

Summary:
- symmetry = Pm-3m, No. 221
- energy relative to the lowest polymorph listed for this composition (eV/atom) = 0.000

CIF file:
```
data_Tc3PtPb
_chemical_formula_sum 'Tc3 Pt1 Pb1'
_cell_length_a 4.840
_cell_length_b 4.840
_cell_length_c 4.840
_cell_angle_alpha 90.00
_cell_angle_beta 90.00
_cell_angle_gamma 90.00
_space_group_name_H-M_alt 'P 1'
_space_group_IT_number 1
loop_
_space_group_symop_operation_xyz
'x,y,z'
loop_
_atom_site_label
_atom_site_fract_x
_atom_site_fract_y
_atom_site_fract_z
Tc1 0.000 0.000 0.500
Tc2 0.000 0.500 0.000
Tc3 0.500 0.000 0.000
Pt1 0.000 0.000 0.000
Pb1 0.500 0.500 0.500
```


7.
## Tc2PtPb (PBE)

Data for Tc2PtPb after structural relaxation.

Summary:
- symmetry = Cm, No. 8
- energy relative to the lowest polymorph listed for this composition (eV/atom) = 0.099

CIF file:
```
data_Tc2PtPb
_chemical_formula_sum 'Tc4 Pt2 Pb2'
_cell_length_a 9.017
_cell_length_b 3.186
_cell_length_c 5.023
_cell_angle_alpha 90.00
_cell_angle_beta 102.63
_cell_angle_gamma 90.00
_space_group_name_H-M_alt 'P 1'
_space_group_IT_number 1
loop_
_space_group_symop_operation_xyz
'x,y,z'
loop_
_atom_site_label
_atom_site_fract_x
_atom_site_fract_y
_atom_site_fract_z
Tc1 0.000 0.000 0.000
Tc2 0.221 0.500 0.138
Tc3 0.500 0.500 0.000
Tc4 0.721 0.000 0.138
Pt1 0.474 0.000 0.418
Pt2 0.974 0.500 0.418
Pb1 0.234 0.000 0.668
Pb2 0.734 0.500 0.668
```


8.
## TcPt2Pb (PBE)

Data for TcPt2Pb after structural relaxation.

Summary:
- symmetry = Pmm2, No. 25
- energy relative to the lowest polymorph listed for this composition (eV/atom) = 0.130

CIF file:
```
data_TcPt2Pb
_chemical_formula_sum 'Tc1 Pt2 Pb1'
_cell_length_a 2.979
_cell_length_b 3.762
_cell_length_c 6.401
_cell_angle_alpha 90.00
_cell_angle_beta 90.00
_cell_angle_gamma 90.00
_space_group_name_H-M_alt 'P 1'
_space_group_IT_number 1
loop_
_space_group_symop_operation_xyz
'x,y,z'
loop_
_atom_site_label
_atom_site_fract_x
_atom_site_fract_y
_atom_site_fract_z
Tc1 0.000 0.000 0.000
Pt1 0.000 0.000 0.575
Pt2 0.500 0.500 0.812
Pb1 0.500 0.500 0.299
```


Number 1: calculated total energy -6.332 eV per atom, N(E_F) 3.18 states/eV per cell. Number 2: calculated total energy -7.379 eV per atom, N(E_F) 2.82 states/eV per cell. Number 3: calculated total energy -5.280 eV per atom, N(E_F) 11.47 states/eV per cell. Number 4: calculated total energy -7.056 eV per atom, N(E_F) 16.98 states/eV per cell. Number 5: calculated total energy -6.202 eV per atom, N(E_F) 11.25 states/eV per cell. Number 6: calculated total energy -6.476 eV per atom, N(E_F) 9.03 states/eV per cell. Number 7: calculated total energy -7.280 eV per atom, N(E_F) 4.62 states/eV per cell. Number 8: calculated total energy -6.302 eV per atom, N(E_F) 4.30 states/eV per cell.